Crystalline Ho2WO6 at its relaxed geometry. Source: Alexandria, functional PBE with a Hubbard U.

```
data_Ho2WO6
_cell_length_a 5.505
_cell_length_b 5.533
_cell_length_c 8.960
_cell_angle_alpha 90.00
_cell_angle_beta 90.00
_cell_angle_gamma 90.00
_space_group_name_H-M_alt 'P n n m'
_space_group_IT_number 58
_space_group_name_Hall '-P 2 2n'
loop_
_atom_site_label
_atom_site_fract_x
_atom_site_fract_y
_atom_site_fract_z
Ho1 0.000 0.000 0.202
W1 0.000 0.500 0.000
O1 0.174 0.196 0.000
O2 0.203 0.644 0.157
```

Properties
ΔE to the lowest computed polymorph ... 45 meV per atom
Theoretical density ... 7.418 g/cm³
Total moment ... 0.00 μB per formula unit
Calculated total energy ... -8.0815 eV per atom